[1]
# RbLiBiO2

An optimized crystal structure of RbLiBiO2 (PBE-GGA, the Alexandria database).

uncorrected formation energy	-1.047	eV/atom
N(E_F)	0.10	states/eV/atom

Cell lengths 3.8910, 7.0241, 7.6857 Å; angles 106.31, 90.00, 90.00 degrees
Closest atoms and distances in Å follow each position.
Fractional coordinates of all 10 atoms:
O 0.3733 0.7966 0.4495  1 Li 2.00
O 0.6267 0.7966 0.9495  1 Li 2.00
Li 0.0000 0.0000 0.0000  2 O 2.00
Bi 0.5064 0.0000 0.7500  4 O 2.41-2.42
O 0.3733 0.2034 0.0505  1 Li 2.00
O 0.6267 0.2034 0.5505  1 Li 2.00
Bi 0.4936 0.0000 0.2500  4 O 2.41-2.42
Rb 0.8682 0.5000 0.2500  4 O 2.93-2.96
Rb 0.1318 0.5000 0.7500  4 O 2.93-2.96
Li 0.0000 0.0000 0.5000  2 O 2.00

=====

[2]
# DyThBiTe

An optimized crystal structure of DyThBiTe (PBE-GGA, the Alexandria database).

polymorph energy (0 for the lowest one)	81	meV per atom
uncorrected formation energy	-0.839	eV/atom
N(E_F)	0.98	states/eV/atom

Cell lengths 5.4641, 5.4641, 5.4641 Å; angles 60.00, 60.00, 60.00 degrees
Closest atoms and distances in Å follow each position.
Fractional coordinates of all 4 atoms:
Bi 0.7500 0.7500 0.7500  4 Th 3.35, 4 Dy 3.35
Dy 0.0000 0.0000 0.0000  4 Bi 3.35, 4 Te 3.35
Te 0.2500 0.2500 0.2500  4 Th 3.35, 4 Dy 3.35
Th 0.5000 0.5000 0.5000  4 Bi 3.35, 4 Te 3.35

=====

[3]
# Ac2AlPt7

An optimized crystal structure of Ac2AlPt7 (PBE-GGA, the Alexandria database).

energy of formation	-0.771	eV/atom
N(E_F)	0.70	states/eV/atom

Cell lengths 4.1644, 4.1644, 12.0861 Å; angles 90.00, 90.00, 90.00 degrees
Closest atoms and distances in Å follow each position.
Fractional coordinates of all 10 atoms:
Al 0.5000 0.5000 0.0000  8 Pt 2.64-2.94
Pt 0.0000 0.5000 0.6512  5 Pt 2.60-2.77
Pt 0.5000 0.0000 0.1338  3 Pt 2.60-2.64, 2 Al 2.64
Ac 0.0000 0.5000 0.2692  8 Pt 3.10-3.37
Ac 0.5000 0.0000 0.7308  8 Pt 3.10-3.37
Pt 0.0000 0.0000 0.0000  4 Pt 2.64, 4 Al 2.94
Pt 0.0000 0.5000 0.8662  3 Pt 2.60-2.64, 2 Al 2.64
Pt 0.5000 0.0000 0.3488  5 Pt 2.60-2.77
Pt 0.0000 0.0000 0.5000  8 Pt 2.77-2.94
Pt 0.5000 0.5000 0.5000  8 Pt 2.77-2.94

=====

[4]
# CoSi2Au

An optimized crystal structure of CoSi2Au (PBE-GGA, the Alexandria database).

polymorph energy (0 for the lowest one)	0	meV per atom
uncorrected formation energy	-0.123	eV/atom
N(E_F)	0.42	states/eV/atom

Cell lengths 6.3434, 6.3434, 6.3434 Å; angles 155.99, 145.86, 42.17 degrees
Closest atoms and distances in Å follow each position.
Fractional coordinates of all 4 atoms:
Co 0.2261 0.7261 0.5000  6 Si 2.32-2.33
Si 0.7651 0.2651 0.5000  4 Co 2.33
Au 0.4436 0.4436 0.0000  2 Au 2.64, 6 Si 2.70-2.82, 2 Co 2.89
Si 0.0652 0.0652 0.0000  2 Co 2.32

=====

no.,total DFT energy (no corrections) (eV per atom),V (Å³ per cell)
1,-4.383,201.6
2,-5.600,115.4
3,-6.196,209.6
4,-5.430,58.2